VASP calculation (GGA-PBE) on an optimized crystal structure of DyTm8Zr2.

Cell: 8.6575 15.0232 5.7017 Å, 90.00 119.37 90.00°
Space group C2/m (No. 12)
One atom of each set of equivalent atoms:
Dy 0.0000 0.0000 0.0000 (multiplicity 2)
Tm 0.0000 0.2188 0.0000 (multiplicity 4)
Tm 0.0796 0.5000 0.7946 (multiplicity 4)
Tm 0.2111 0.1177 0.6468 (multiplicity 8)
Zr 0.0000 0.3060 0.5000 (multiplicity 4)

Results
DFT formation energy ... 0.215 eV/atom

---

VASP calculation (GGA-PBE) on an optimized crystal structure of HgRhO.

Cell: 5.1554 2.7901 7.0167 Å, 90.00 90.00 90.00°
Space group Amm2 (No. 38)
One atom of each set of equivalent atoms:
Hg 0.0000 0.0000 0.0000 (multiplicity 2)
Rh 0.5000 0.0000 0.4697 (multiplicity 2)
O 0.5000 0.0000 0.7505 (multiplicity 2)

Results
Energy above the lowest structure with this stoichiometry ... 0.1566 eV/atom
Uncorrected formation energy ... -0.247 eV/f.u.

---

VASP calculation (GGA-PBE) on an optimized crystal structure of LiTbNp2Se5.

Cell: 4.0697 17.1806 12.3355 Å, 90.00 90.00 90.00°
Space group Cmc2_1 (No. 36)
One atom of each set of equivalent atoms:
Li 0.0000 0.0145 0.0000 (multiplicity 4)
Tb 0.0000 0.3014 0.5210 (multiplicity 4)
Np 0.0000 0.3740 0.8154 (multiplicity 4)
Np 0.0000 0.3924 0.2019 (multiplicity 4)
Se 0.0000 0.0013 0.3029 (multiplicity 4)
Se 0.0000 0.1360 0.5190 (multiplicity 4)
Se 0.0000 0.1885 0.8603 (multiplicity 4)
Se 0.0000 0.2141 0.1860 (multiplicity 4)
Se 0.0000 0.4533 0.5953 (multiplicity 4)

Results
Uncorrected formation energy ... -11.684 eV/f.u.

---

| no. | DOS at the Fermi energy (states/eV per cell) | mass density (g/cm3) |
| --- | --- | --- |
| 1 | 33.538 | 8.72 |
| 2 | 4.765 | 10.51 |
| 3 | 53.983 | 7.97 |